Compound: CeNdTaN4
Source: the Alexandria database
Functional: GGA-PBE
Structure: optimized geometry

Values from the calculation:
Symmetry: Cmcm
Total energy (eV/atom): -9.26
Volume (Å³/cell): 203.35

Cell: 5.714 5.730 6.836 Å, 90.00 114.70 90.00°
Element x y z (fractional)
Ce 0.103 0.250 0.206
Ce 0.897 0.750 0.794
Nd 0.610 0.750 0.220
Nd 0.390 0.250 0.780
Ta 0.262 0.750 0.524
Ta 0.738 0.250 0.476
N 0.933 0.250 0.865
N 0.421 0.750 0.842
N 0.067 0.750 0.135
N 0.579 0.250 0.158
N 0.500 0.500 0.500
N 0.000 0.000 0.500
N 0.500 0.000 0.500
N 0.000 0.500 0.500